Record 1
Computed, not measured: a relaxed structure of TlOsO2 at the GGA-PBE level of DFT.

Cell: 5.1256 5.1256 11.0767 Å, 90.00 90.00 90.00°
Last column: nearest neighbours and their distance in Å.
Space group I-42d (No. 122)
Inequivalent atoms, fractional coordinates:
Tl1 0.0000 0.0000 0.0000 [4 per cell]  4 O 2.83
Os1 0.0000 0.0000 0.5000 [4 per cell]  4 O 1.94
O1 0.0881 0.2500 0.6250 [8 per cell]  2 Os 1.94

---

Record 2
Computed, not measured: a relaxed structure of TlOs2O8 at the GGA-PBE level of DFT.

Cell: 11.3040 8.0642 5.5831 Å, 90.00 93.83 90.00°
Last column: nearest neighbours and their distance in Å.
Space group C2/m (No. 12)
Inequivalent atoms, fractional coordinates:
Tl1 0.0000 0.0000 0.0000 [2 per cell]  6 O 2.81-2.84
Os1 0.2374 0.0000 0.4656 [4 per cell]  4 O 1.72-1.76
O1 0.1186 0.5000 0.6180 [4 per cell]  1 Os 1.72
O2 0.1578 0.1663 0.3270 [8 per cell]  1 Os 1.76
O3 0.2172 0.0000 0.7723 [4 per cell]  1 Os 1.74

---

Record 3
Computed, not measured: a relaxed structure of Tl5OsO6 at the GGA-PBE level of DFT.

Cell: 6.6178 11.3559 6.1860 Å, 90.00 107.91 90.00°
Last column: nearest neighbours and their distance in Å.
Space group C2/m (No. 12)
Inequivalent atoms, fractional coordinates:
Tl1 0.0000 0.0000 0.0000 [2 per cell]  4 O 2.77
Tl2 0.0000 0.1711 0.5000 [4 per cell]  6 O 2.72-2.95
Tl3 0.0000 0.3393 0.0000 [4 per cell]  4 O 2.53-2.68
Os1 0.0000 0.5000 0.5000 [2 per cell]  6 O 1.92-1.97
O1 0.1637 0.5000 0.2823 [4 per cell]  1 Os 1.97
O2 0.1821 0.3806 0.6766 [8 per cell]  1 Os 1.92

---

Record 4
Computed, not measured: a relaxed structure of Tl3OsO at the GGA-PBE level of DFT.

Cell: 4.8139 4.8139 4.8139 Å, 90.00 90.00 90.00°
Last column: nearest neighbours and their distance in Å.
Space group Pm-3m (No. 221)
Inequivalent atoms, fractional coordinates:
Tl1 0.0000 0.0000 0.5000 [3 per cell]  2 O 2.41
Os1 0.5000 0.5000 0.5000 [1 per cell]  12 Tl 3.40
O1 0.0000 0.0000 0.0000 [1 per cell]  6 Tl 2.41

---

Record 5
Computed, not measured: a relaxed structure of Tl2OsO4 at the GGA-PBE level of DFT.

Cell: 6.5116 6.5116 15.4220 Å, 90.00 90.00 90.00°
Last column: nearest neighbours and their distance in Å.
Space group I4_1/a (No. 88, origin choice 2)
Inequivalent atoms, fractional coordinates:
Tl1 0.0000 0.0000 0.0000 [8 per cell]  2 O 2.61
Os1 0.0000 0.2500 0.6250 [4 per cell]  4 O 1.78
O1 0.1481 0.0466 0.5792 [16 per cell]  1 Os 1.78

---

Record 6
Computed, not measured: a relaxed structure of Tl2Os2O7 at the GGA-PBE level of DFT.

Cell: 10.4680 10.4680 10.4680 Å, 90.00 90.00 90.00°
Last column: nearest neighbours and their distance in Å.
Space group Fd-3m (No. 227, origin choice 2)
Inequivalent atoms, fractional coordinates:
Tl1 0.0000 0.0000 0.0000 [16 per cell]  2 O 2.27
Os1 0.0000 0.0000 0.5000 [16 per cell]  6 O 1.97
O1 0.0658 0.3750 0.8750 [48 per cell]  2 Os 1.97
O2 0.1250 0.1250 0.1250 [8 per cell]  4 Tl 2.27

---

Record 7
Computed, not measured: a relaxed structure of TlOsO5 at the GGA-PBE level of DFT.

Cell: 9.1489 6.4428 7.5326 Å, 90.00 114.38 90.00°
Last column: nearest neighbours and their distance in Å.
Space group C2/c (No. 15)
Inequivalent atoms, fractional coordinates:
Tl1 0.0000 0.0400 0.2500 [4 per cell]  7 O 2.26-2.44
Os1 0.0000 0.5000 0.0000 [4 per cell]  6 O 1.80-1.98
O1 0.0000 0.4039 0.2500 [4 per cell]  2 Os 1.98
O2 0.0105 0.2097 0.9665 [8 per cell]  1 Os 1.90
O3 0.2153 0.4872 0.6112 [8 per cell]  1 Os 1.80

---

Record 8
Computed, not measured: a relaxed structure of Tl3Os3O10 at the GGA-PBE level of DFT.

Cell: 7.3838 7.3838 31.3755 Å, 90.00 90.00 90.00°
Last column: nearest neighbours and their distance in Å.
Space group I4_1/amd (No. 141, origin choice 2)
Inequivalent atoms, fractional coordinates:
Tl1 0.0000 0.0000 0.0000 [8 per cell]  2 O 2.21
Tl2 0.0000 0.0113 0.3350 [16 per cell]  3 O 2.41-2.67
Os1 0.0000 0.9996 0.1668 [16 per cell]  6 O 1.95-2.00
Os2 0.0000 0.0000 0.5000 [8 per cell]  6 O 1.94-1.99
O1 0.0000 0.2500 0.0390 [8 per cell]  4 Tl 2.21-2.41
O2 0.0000 0.2500 0.1472 [8 per cell]  2 Os 1.95
O3 0.0000 0.2500 0.2691 [8 per cell]  2 Os 1.94
O4 0.0000 0.2500 0.8082 [8 per cell]  2 Os 2.00
O5 0.1834 0.0666 0.8750 [16 per cell]  2 Os 1.95
O6 0.1923 0.0556 0.2085 [32 per cell]  2 Os 1.97-1.99

---

Record 9
Computed, not measured: a relaxed structure of Tl2OsO4 at the GGA-PBE level of DFT.

Cell: 3.8261 3.8261 16.0774 Å, 90.00 90.00 90.00°
Last column: nearest neighbours and their distance in Å.
Space group I4/mmm (No. 139)
Inequivalent atoms, fractional coordinates:
Tl1 0.0000 0.0000 0.1603 [4 per cell]  4 O 2.78
Os1 0.0000 0.0000 0.5000 [2 per cell]  6 O 1.91-1.93
O1 0.0000 0.0000 0.3798 [4 per cell]  1 Os 1.93
O2 0.0000 0.5000 0.0000 [4 per cell]  2 Os 1.91

---

Record 10
Computed, not measured: a relaxed structure of TlOsO4 at the GGA-PBE level of DFT.

Cell: 5.9028 5.9028 13.3322 Å, 90.00 90.00 90.00°
Last column: nearest neighbours and their distance in Å.
Space group I4_1/a (No. 88, origin choice 2)
Inequivalent atoms, fractional coordinates:
Tl1 0.0000 0.2500 0.1250 [4 per cell]  8 O 2.94-2.98
Os1 0.0000 0.2500 0.6250 [4 per cell]  4 O 1.77
O1 0.1200 0.4716 0.6967 [16 per cell]  1 Os 1.77

---

Record 11
Computed, not measured: a relaxed structure of Tl6OsO12 at the GGA-PBE level of DFT.

Cell: 9.9176 9.9176 9.6577 Å, 90.00 90.00 120.00°
Last column: nearest neighbours and their distance in Å.
Space group R-3 (No. 148, hexagonal axes)
Inequivalent atoms, fractional coordinates:
Tl1 0.0413 0.7870 0.1509 [18 per cell]  3 O 2.17-2.41
Os1 0.0000 0.0000 0.5000 [3 per cell]  6 O 1.92
O1 0.0215 0.7977 0.8983 [18 per cell]  3 Tl 2.17-2.41
O2 0.0297 0.8556 0.3902 [18 per cell]  1 Os 1.92

---

Record 12
Computed, not measured: a relaxed structure of TlOs2O8 at the GGA-PBE level of DFT.

Cell: 13.1743 7.6855 7.6720 Å, 90.00 125.31 90.00°
Last column: nearest neighbours and their distance in Å.
Space group C2/m (No. 12)
Inequivalent atoms, fractional coordinates:
Tl1 0.0000 0.0000 0.0000 [2 per cell]  8 O 2.94
Os1 0.2504 0.0000 0.7488 [4 per cell]  4 O 1.74
O1 0.1565 0.0000 0.8410 [4 per cell]  1 Os 1.74
O2 0.1560 0.3147 0.1579 [8 per cell]  1 Os 1.74
O3 0.1571 0.0000 0.4703 [4 per cell]  1 Os 1.74

---

Record 13
Computed, not measured: a relaxed structure of Tl2OsO5 at the GGA-PBE level of DFT.

Cell: 7.9448 3.9469 15.7861 Å, 90.00 90.00 90.00°
Last column: nearest neighbours and their distance in Å.
Space group Pnma (No. 62)
Inequivalent atoms, fractional coordinates:
Tl1 0.0729 0.2500 0.0885 [4 per cell]  7 O 2.58-2.86
Tl2 0.1787 0.2500 0.7514 [4 per cell]  2 O 2.17-2.18
Os1 0.0973 0.2500 0.4310 [4 per cell]  3 O 1.79-1.89
O1 0.0640 0.7500 0.4560 [4 per cell]  3 Os 2.03-2.20
O2 0.0731 0.7500 0.1936 [4 per cell]  2 Tl 2.17-2.18
O3 0.0937 0.7500 0.6345 [4 per cell]  1 Os 1.84
O4 0.2338 0.7500 0.0062 [4 per cell]  1 Os 1.79
O5 0.2474 0.2500 0.3382 [4 per cell]  1 Os 1.89

---

Record 14
Computed, not measured: a relaxed structure of Tl8Os8O27 at the GGA-PBE level of DFT.

Cell: 7.3758 7.3758 10.4654 Å, 90.00 90.00 90.00°
Last column: nearest neighbours and their distance in Å.
Space group P-4m2 (No. 115)
Inequivalent atoms, fractional coordinates:
Tl1 0.0000 0.2372 0.3815 [4 per cell]  1 O 2.40
Tl2 0.2491 0.5000 0.1268 [4 per cell]  2 O 2.22-2.28
Os1 0.0000 0.2500 0.8762 [4 per cell]  6 O 1.91-2.00
Os2 0.2500 0.5000 0.6261 [4 per cell]  6 O 1.94-2.01
O1 0.0000 0.0000 0.1696 [2 per cell]  2 Os 1.91
O2 0.0000 0.5000 0.2462 [2 per cell]  4 Tl 2.22-2.40
O3 0.0000 0.5000 0.5693 [2 per cell]  2 Os 1.94
O4 0.0000 0.5000 0.9470 [2 per cell]  2 Os 1.99
O5 0.1945 0.3124 0.7536 [8 per cell]  2 Os 1.97-1.98
O6 0.2013 0.2013 0.0000 [4 per cell]  2 Os 2.00
O7 0.3174 0.3174 0.5000 [4 per cell]  2 Os 1.95
O8 0.5000 0.5000 0.0000 [1 per cell]  4 Tl 2.28
O9 0.5000 0.5000 0.2970 [2 per cell]  2 Os 2.01

---

Record 15
Computed, not measured: a relaxed structure of Tl3OsO at the GGA-PBE level of DFT.

Cell: 5.2483 5.2483 5.2483 Å, 90.00 90.00 90.00°
Last column: nearest neighbours and their distance in Å.
Space group Pm-3m (No. 221)
Inequivalent atoms, fractional coordinates:
Tl1 0.0000 0.0000 0.5000 [3 per cell]  2 Os 2.62
Os1 0.0000 0.0000 0.0000 [1 per cell]  6 Tl 2.62
O1 0.5000 0.5000 0.5000 [1 per cell]  12 Tl 3.71

---

Record 16
Computed, not measured: a relaxed structure of TlOs3O at the GGA-PBE level of DFT.

Cell: 5.0671 5.0671 5.0671 Å, 90.00 90.00 90.00°
Last column: nearest neighbours and their distance in Å.
Space group Pm-3m (No. 221)
Inequivalent atoms, fractional coordinates:
Tl1 0.0000 0.0000 0.0000 [1 per cell]  6 Os 2.53
Os1 0.0000 0.0000 0.5000 [3 per cell]  2 Tl 2.53
O1 0.5000 0.5000 0.5000 [1 per cell]  12 Os 3.58

---

Record 17
Computed, not measured: a relaxed structure of TlOs2O7 at the GGA-PBE level of DFT.

Cell: 5.9857 17.3898 3.8246 Å, 90.00 90.00 90.00°
Last column: nearest neighbours and their distance in Å.
Space group Cmmm (No. 65)
Inequivalent atoms, fractional coordinates:
Tl1 0.0000 0.0000 0.0000 [2 per cell]  16 O 3.51-3.63, 2 Tl 3.82
Os1 0.0000 0.3892 0.5000 [4 per cell]  5 O 1.74-1.93
O1 0.0000 0.3951 0.0000 [4 per cell]  2 Os 1.92
O2 0.0000 0.5000 0.5000 [2 per cell]  2 Os 1.93
O3 0.2416 0.1570 0.5000 [8 per cell]  1 Os 1.74

---

| no. | total energy (eV per atom) |
| --- | --- |
| 1 | -6.091 |
| 2 | -6.793 |
| 3 | -5.201 |
| 4 | -3.825 |
| 5 | -5.821 |
| 6 | -6.507 |
| 7 | -6.197 |
| 8 | -6.578 |
| 9 | -5.943 |
| 10 | -6.519 |
| 11 | -5.193 |
| 12 | -6.823 |
| 13 | -5.854 |
| 14 | -6.566 |
| 15 | -3.907 |
| 16 | -4.418 |
| 17 | -6.645 |